# 1
Density functional theory data (GGA-PBE) for a relaxed MoRu2Pt crystal.

a b c (Å): 9.176 9.176 9.176
angles (deg): 17.25 17.25 17.25
Atoms (fractional coordinates):
Mo 0.000 0.000 0.000
Ru 0.495 0.495 0.495
Ru 0.750 0.750 0.750
Pt 0.248 0.248 0.248

electronic total energy	-8.824	eV per atom
calculated formation energy	0.0315	eV/atom
excess energy over the best structure of this formula in the dataset	184	meV/atom
total moment	0.00	μB/atom

---

# 2
Density functional theory data (GGA-PBE) for a relaxed MoRu2Pt crystal.

a b c (Å): 2.731 2.731 7.951
angles (deg): 90.00 90.00 90.00
Atoms (fractional coordinates):
Mo 0.000 0.000 0.000
Ru 0.000 0.000 0.516
Ru 0.500 0.500 0.736
Pt 0.500 0.500 0.250

electronic total energy	-8.907	eV per atom
calculated formation energy	-0.0512	eV/atom
excess energy over the best structure of this formula in the dataset	101	meV/atom
total moment	0.00	μB/atom

---

# 3
Density functional theory data (GGA-PBE) for a relaxed MoRu2Pt crystal.

a b c (Å): 4.788 4.788 4.770
angles (deg): 99.41 99.41 33.26
Atoms (fractional coordinates):
Mo 0.000 0.000 0.000
Ru 0.249 0.249 0.743
Ru 0.506 0.506 0.523
Pt 0.751 0.751 0.251

electronic total energy	-8.888	eV per atom
calculated formation energy	-0.0317	eV/atom
excess energy over the best structure of this formula in the dataset	121	meV/atom
total moment	0.00	μB/atom

---

# 4
Density functional theory data (GGA-PBE) for a relaxed Mo2Ru2Pt crystal.

a b c (Å): 7.469 7.469 2.815
angles (deg): 90.00 90.00 90.00
Atoms (fractional coordinates):
Mo 0.130 0.370 0.000
Mo 0.370 0.870 0.000
Mo 0.630 0.130 0.000
Mo 0.870 0.630 0.000
Ru 0.165 0.665 0.500
Ru 0.335 0.165 0.500
Ru 0.665 0.835 0.500
Ru 0.835 0.335 0.500
Pt 0.000 0.000 0.000
Pt 0.500 0.500 0.000

electronic total energy	-9.080	eV per atom
calculated formation energy	0.1711	eV/atom
excess energy over the best structure of this formula in the dataset	135	meV/atom
total moment	0.00	μB/atom

---

# 5
Density functional theory data (GGA-PBE) for a relaxed Mo3Ru3Pt crystal.

a b c (Å): 6.139 6.139 5.871
angles (deg): 90.00 90.00 92.25
Atoms (fractional coordinates):
Mo 0.000 0.000 0.231
Mo 0.000 0.000 0.769
Mo 0.000 0.500 0.251
Mo 0.000 0.500 0.749
Mo 0.500 0.000 0.251
Mo 0.500 0.000 0.749
Ru 0.269 0.731 0.000
Ru 0.271 0.271 0.500
Ru 0.271 0.729 0.500
Ru 0.729 0.271 0.500
Ru 0.729 0.729 0.500
Ru 0.731 0.269 0.000
Pt 0.296 0.296 0.000
Pt 0.704 0.704 0.000

electronic total energy	-9.290	eV per atom
calculated formation energy	0.1899	eV/atom
total moment	0.00	μB/atom

---

# 6
Density functional theory data (GGA-PBE) for a relaxed MoRu2Pt crystal.

a b c (Å): 4.397 4.397 4.397
angles (deg): 60.00 60.00 60.00
Atoms (fractional coordinates):
Mo 0.000 0.000 0.000
Ru 0.250 0.250 0.250
Ru 0.750 0.750 0.750
Pt 0.500 0.500 0.500

electronic total energy	-8.649	eV per atom
calculated formation energy	0.2068	eV/atom
excess energy over the best structure of this formula in the dataset	359	meV/atom
total moment	0.00	μB/atom

---

# 7
Density functional theory data (GGA-PBE) for a relaxed Mo2Ru2Pt crystal.

a b c (Å): 10.078 10.078 2.793
angles (deg): 90.00 90.00 164.29
Atoms (fractional coordinates):
Mo 0.103 0.897 0.000
Mo 0.897 0.103 0.000
Ru 0.306 0.694 0.500
Ru 0.694 0.306 0.500
Pt 0.500 0.500 0.500

electronic total energy	-9.196	eV per atom
calculated formation energy	0.0546	eV/atom
excess energy over the best structure of this formula in the dataset	19	meV/atom
total moment	0.00	μB/atom

---

# 8
Density functional theory data (GGA-PBE) for a relaxed MoRu2Pt crystal.

a b c (Å): 9.233 9.233 9.233
angles (deg): 17.10 17.10 17.10
Atoms (fractional coordinates):
Mo 0.000 0.000 0.000
Ru 0.252 0.252 0.252
Ru 0.748 0.748 0.748
Pt 0.500 0.500 0.500

electronic total energy	-8.818	eV per atom
calculated formation energy	0.0381	eV/atom
excess energy over the best structure of this formula in the dataset	191	meV/atom
total moment	0.00	μB/atom

---

# 9
Density functional theory data (GGA-PBE) for a relaxed Mo5Ru2Pt4 crystal.

a b c (Å): 7.050 17.235 2.792
angles (deg): 90.00 90.00 90.00
Atoms (fractional coordinates):
Mo 0.000 0.000 0.000
Mo 0.136 0.436 0.000
Mo 0.242 0.213 0.000
Mo 0.258 0.713 0.000
Mo 0.364 0.936 0.000
Mo 0.500 0.500 0.000
Mo 0.636 0.064 0.000
Mo 0.742 0.287 0.000
Mo 0.758 0.787 0.000
Mo 0.864 0.564 0.000
Ru 0.050 0.309 0.500
Ru 0.450 0.809 0.500
Ru 0.550 0.191 0.500
Ru 0.950 0.691 0.500
Pt 0.073 0.854 0.500
Pt 0.211 0.574 0.500
Pt 0.289 0.074 0.500
Pt 0.427 0.354 0.500
Pt 0.573 0.646 0.500
Pt 0.711 0.926 0.500
Pt 0.789 0.426 0.500
Pt 0.927 0.146 0.500

electronic total energy	-8.976	eV per atom
calculated formation energy	-0.1693	eV/atom
total moment	0.00	μB/atom

---

# 10
Density functional theory data (GGA-PBE) for a relaxed MoRu2Pt crystal.

a b c (Å): 2.695 4.612 4.853
angles (deg): 90.00 91.71 90.00
Atoms (fractional coordinates):
Mo 0.000 0.000 0.000
Ru 0.254 0.500 0.742
Ru 0.746 0.500 0.258
Pt 0.500 0.000 0.500

electronic total energy	-8.651	eV per atom
calculated formation energy	0.2052	eV/atom
excess energy over the best structure of this formula in the dataset	358	meV/atom
total moment	0.00	μB/atom

---

# 11
Density functional theory data (GGA-PBE) for a relaxed Mo2RuPt2 crystal.

a b c (Å): 4.813 4.813 6.231
angles (deg): 130.09 130.09 48.05
Atoms (fractional coordinates):
Mo 0.208 0.208 0.312
Mo 0.792 0.792 0.688
Ru 0.000 0.000 0.500
Pt 0.404 0.404 0.108
Pt 0.596 0.596 0.892

electronic total energy	-8.786	eV per atom
calculated formation energy	-0.1824	eV/atom
excess energy over the best structure of this formula in the dataset	0	meV/atom
total moment	0.00	μB/atom

---

# 12
Density functional theory data (GGA-PBE) for a relaxed MoRu2Pt crystal.

a b c (Å): 2.738 3.917 5.521
angles (deg): 90.00 90.00 90.00
Atoms (fractional coordinates):
Mo 0.000 0.000 0.000
Ru 0.000 0.000 0.536
Ru 0.500 0.500 0.750
Pt 0.500 0.500 0.263

electronic total energy	-8.941	eV per atom
calculated formation energy	-0.0855	eV/atom
excess energy over the best structure of this formula in the dataset	67	meV/atom
total moment	0.00	μB/atom

---

# 13
Density functional theory data (GGA-PBE) for a relaxed Mo2Ru3Pt crystal.

a b c (Å): 8.248 8.248 8.248
angles (deg): 120.71 120.71 88.77
Atoms (fractional coordinates):
Mo 0.278 0.718 0.561
Mo 0.282 0.343 0.561
Mo 0.282 0.722 0.939
Mo 0.343 0.282 0.061
Mo 0.657 0.718 0.939
Mo 0.718 0.278 0.061
Mo 0.718 0.657 0.439
Mo 0.722 0.282 0.439
Ru 0.000 0.500 0.500
Ru 0.090 0.340 0.181
Ru 0.090 0.910 0.750
Ru 0.340 0.090 0.681
Ru 0.340 0.660 0.250
Ru 0.500 0.000 0.000
Ru 0.500 0.500 0.000
Ru 0.500 0.500 0.500
Ru 0.660 0.340 0.750
Ru 0.660 0.910 0.319
Ru 0.910 0.090 0.250
Ru 0.910 0.660 0.819
Pt 0.091 0.341 0.750
Pt 0.341 0.091 0.250
Pt 0.659 0.909 0.750
Pt 0.909 0.659 0.250

electronic total energy	-8.999	eV per atom
calculated formation energy	0.2563	eV/atom
total moment	0.00	μB/atom

---

# 14
Density functional theory data (GGA-PBE) for a relaxed MoRu2Pt crystal.

a b c (Å): 4.714 4.714 4.714
angles (deg): 130.67 130.67 72.35
Atoms (fractional coordinates):
Mo 0.000 0.000 0.000
Ru 0.250 0.750 0.500
Ru 0.750 0.250 0.500
Pt 0.500 0.500 0.000

electronic total energy	-8.941	eV per atom
calculated formation energy	-0.0850	eV/atom
excess energy over the best structure of this formula in the dataset	67	meV/atom
total moment	0.00	μB/atom

---

# 15
Density functional theory data (GGA-PBE) for a relaxed Mo4RuPt crystal.

a b c (Å): 5.140 5.140 5.140
angles (deg): 60.00 60.00 60.00
Atoms (fractional coordinates):
Mo 0.124 0.124 0.124
Mo 0.124 0.124 0.627
Mo 0.124 0.627 0.124
Mo 0.627 0.124 0.124
Ru 0.500 0.500 0.500
Pt 0.750 0.750 0.750

electronic total energy	-9.562	eV per atom
calculated formation energy	0.2115	eV/atom
total moment	0.00	μB/atom

---

# 16
Density functional theory data (GGA-PBE) for a relaxed Mo5Ru3Pt3 crystal.

a b c (Å): 8.852 8.852 2.685
angles (deg): 90.00 90.00 120.00
Atoms (fractional coordinates):
Mo 0.000 0.321 0.000
Mo 0.321 0.000 0.000
Mo 0.333 0.667 0.000
Mo 0.667 0.333 0.000
Mo 0.679 0.679 0.000
Ru 0.000 0.834 0.000
Ru 0.166 0.166 0.000
Ru 0.834 0.000 0.000
Pt 0.000 0.578 0.500
Pt 0.422 0.422 0.500
Pt 0.578 0.000 0.500

electronic total energy	-8.578	eV per atom
calculated formation energy	0.5222	eV/atom
total moment	0.00	μB/atom

---

# 17
Density functional theory data (GGA-PBE) for a relaxed MoRu2Pt crystal.

a b c (Å): 6.747 6.747 6.747
angles (deg): 130.18 130.18 73.11
Atoms (fractional coordinates):
Mo 0.000 0.000 0.000
Mo 0.750 0.250 0.500
Ru 0.119 0.625 0.994
Ru 0.375 0.369 0.494
Ru 0.631 0.125 0.006
Ru 0.875 0.881 0.506
Pt 0.250 0.750 0.500
Pt 0.500 0.500 0.000

electronic total energy	-7.763	eV per atom
calculated formation energy	1.0930	eV/atom
excess energy over the best structure of this formula in the dataset	1245	meV/atom
total moment	0.00	μB/atom

---

# 18
Density functional theory data (GGA-PBE) for a relaxed MoRu2Pt crystal.

a b c (Å): 3.277 3.277 5.614
angles (deg): 90.00 90.00 90.00
Atoms (fractional coordinates):
Mo 0.000 0.000 0.000
Ru 0.500 0.500 0.244
Ru 0.500 0.500 0.756
Pt 0.000 0.000 0.500

electronic total energy	-8.704	eV per atom
calculated formation energy	0.1521	eV/atom
excess energy over the best structure of this formula in the dataset	305	meV/atom
total moment	0.00	μB/atom

---

# 19
Density functional theory data (GGA-PBE) for a relaxed MoRu2Pt crystal.

a b c (Å): 4.741 4.741 2.765
angles (deg): 90.00 90.00 108.46
Atoms (fractional coordinates):
Mo 0.000 0.000 0.000
Ru 0.000 0.500 0.500
Ru 0.500 0.000 0.500
Pt 0.500 0.500 0.000

electronic total energy	-8.870	eV per atom
calculated formation energy	-0.0143	eV/atom
excess energy over the best structure of this formula in the dataset	138	meV/atom
total moment	0.00	μB/atom

---

# 20
Density functional theory data (GGA-PBE) for a relaxed MoRu2Pt crystal.

a b c (Å): 2.760 2.760 7.787
angles (deg): 90.00 90.00 90.00
Atoms (fractional coordinates):
Mo 0.000 0.000 0.000
Ru 0.500 0.500 0.244
Ru 0.500 0.500 0.756
Pt 0.000 0.000 0.500

electronic total energy	-8.845	eV per atom
calculated formation energy	0.0109	eV/atom
excess energy over the best structure of this formula in the dataset	163	meV/atom
total moment	0.00	μB/atom